No. 1
DFT (GGA-PBE) results for crystalline NdPa2Tc at its relaxed geometry.

Results
ΔE_f in eV per atom: 0.0851
Crystal system: tetragonal
Mass density in g cm⁻³: 11.556

a b c (Å): 3.5227 3.5227 8.1558
angles (deg): 90.00 90.00 90.00
With the nearest neighbours (Å) after each atom.
Positions (direct):
Pa 0.0000 0.0000 0.1885  4 Tc 2.93, 1 Pa 3.08
Nd 0.5000 0.5000 0.5000  4 Nd 3.52, 8 Pa 3.56
Pa 0.0000 0.0000 0.8115  4 Tc 2.93, 1 Pa 3.08
Tc 0.5000 0.5000 0.0000  8 Pa 2.93



No. 2
DFT (GGA-PBE) results for crystalline NdPaTc at its relaxed geometry.

Results
ΔE_f in eV per atom: 0.0017
Crystal system: hexagonal
Mass density in g cm⁻³: 9.561

a b c (Å): 5.0491 4.3357 4.3357
angles (deg): 120.00 90.00 90.00
With the nearest neighbours (Å) after each atom.
Positions (direct):
Nd 0.6665 0.3333 0.6667  6 Tc 3.55-3.56, 6 Pa 3.55-3.56
Pa 0.1664 0.0000 0.0000  3 Tc 2.50
Tc 0.1671 0.6667 0.3333  3 Pa 2.50



No. 3
DFT (GGA-PBE) results for crystalline NdPa2Tc at its relaxed geometry.

Results
ΔE_f in eV per atom: 0.2899
Crystal system: trigonal
Mass density in g cm⁻³: 12.148

a b c (Å): 4.7050 4.7050 5.7094
angles (deg): 65.67 65.67 60.00
With the nearest neighbours (Å) after each atom.
Positions (direct):
Nd 0.0000 0.0000 0.0000  6 Pa 3.07
Tc 0.5000 0.5000 0.5000  6 Pa 2.92
Pa 0.2378 0.2378 0.2865  3 Tc 2.92, 3 Nd 3.07
Pa 0.7622 0.7622 0.7135  3 Tc 2.92, 3 Nd 3.07



| no. | ΔE to the lowest computed polymorph (meV/atom) |
| --- | --- |
| 1 | 0 |
| 2 | 85 |
| 3 | 205 |